#1
Material: Y4MgAg2
Method: DFT, PBE
State: optimized geometry

extended XYZ file:
```
7
Lattice="-3.258 1.680 -3.608 1.438 0.057 -4.938 -3.731 -7.638 -3.853" Properties=species:S:1:pos:R:3 pbc="T T T"
Mg 0.000 0.000 0.000
Y -1.638 0.041 -5.834
Y -3.913 -5.943 -6.565
Y -1.761 -2.458 -3.220
Y -3.789 -3.444 -9.179
Ag -2.808 -5.211 -3.556
Ag -2.743 -0.691 -8.843
```

Values from the calculation:
N(E_F) ... 8.53 states/eV per cell
Volume ... 203 Å³/cell
Space-group type ... No. 166

=====

#2
Material: Y4MgAg2
Method: DFT, PBE
State: optimized geometry

extended XYZ file:
```
7
Lattice="1.158 4.877 1.259 0.221 1.403 4.970 8.433 0.151 2.270" Properties=species:S:1:pos:R:3 pbc="T T T"
Ag 7.534 4.781 6.379
Ag 2.279 1.650 2.121
Y 7.651 2.547 4.316
Y 5.281 0.919 2.194
Y 4.531 5.513 6.306
Y 2.161 3.885 4.183
Mg 0.000 0.000 0.000
```

Values from the calculation:
N(E_F) ... 6.95 states/eV per cell
Volume ... 190 Å³/cell
Space-group type ... No. 166

=====

Most stable: #2

=====

#1
Material: Mg3ZnAg3
Method: DFT, PBE
State: optimized geometry

extended XYZ file:
```
14
Lattice="-4.306 2.359 -4.596 -3.326 -5.845 0.036 -3.562 2.054 4.391" Properties=species:S:1:pos:R:3 pbc="T T T"
Ag -7.252 -1.466 -1.063
Ag -5.822 1.166 -1.147
Ag -5.372 -2.599 0.978
Ag -3.943 0.034 0.894
Ag -4.048 0.196 -3.375
Ag -3.585 -3.682 -1.185
Mg -6.848 -0.066 -3.491
Mg -10.303 -1.942 -1.259
Mg -0.892 0.509 1.090
Mg -6.360 -4.152 -1.184
Mg -4.835 2.719 1.015
Mg -4.347 -1.367 3.322
Zn -2.574 -1.168 -1.523
Zn -8.621 -0.265 1.354
```

Values from the calculation:
N(E_F) ... 3.70 states/eV per cell
Volume ... 272 Å³/cell
Space-group type ... No. 12

=====

#2
Material: Mg3ZnAg3
Method: DFT, PBE
State: optimized geometry

extended XYZ file:
```
14
Lattice="5.667 0.054 0.189 -2.476 5.098 0.189 -0.317 -0.512 9.238" Properties=species:S:1:pos:R:3 pbc="T T T"
Ag 4.176 2.222 7.139
Ag -1.302 2.418 2.477
Ag 2.745 -0.088 2.477
Ag 3.114 5.027 2.527
Ag 0.129 4.728 7.139
Ag -0.240 -0.387 7.089
Mg 1.357 2.191 6.629
Mg -0.598 3.934 0.189
Mg 1.517 2.449 2.987
Mg 4.151 0.639 4.808
Mg 3.788 1.218 0.189
Mg -1.277 4.001 4.808
Zn 1.945 3.140 9.482
Zn 0.929 1.500 0.133
```

Values from the calculation:
N(E_F) ... 4.76 states/eV per cell
Volume ... 269 Å³/cell
Space-group type ... No. 12

=====

Most stable: #2

=====

#1
Material: Mg3Zn2Ag8
Method: DFT, PBE
State: optimized geometry

extended XYZ file:
```
13
Lattice="4.682 0.000 0.000 0.000 7.030 3.855 0.000 0.868 7.971" Properties=species:S:1:pos:R:3 pbc="T T T"
Zn 2.341 1.741 2.609
Zn 2.341 6.157 9.217
Ag 4.682 2.555 3.826
Ag 4.682 0.966 1.447
Ag 2.341 6.048 6.459
Ag 2.341 4.248 3.763
Ag 2.341 1.851 5.367
Ag 0.000 6.932 10.378
Ag 0.000 5.343 7.999
Ag 2.341 3.650 8.062
Mg 2.341 0.000 0.000
Mg 0.000 5.189 5.084
Mg 0.000 2.709 6.742
```

Values from the calculation:
N(E_F) ... 4.02 states/eV per cell
Volume ... 247 Å³/cell
Space-group type ... No. 65

=====

#2
Material: Mg3Zn2Ag8
Method: DFT, PBE
State: optimized geometry

extended XYZ file:
```
13
Lattice="5.499 0.000 0.000 2.749 4.762 0.000 2.749 1.587 9.778" Properties=species:S:1:pos:R:3 pbc="T T T"
Ag 4.115 3.974 3.032
Ag 6.882 2.376 6.746
Ag 5.499 1.577 3.032
Ag 6.882 3.974 3.032
Ag 5.499 4.772 6.746
Ag 8.248 4.762 8.155
Ag 4.115 2.376 6.746
Ag 2.749 1.587 1.623
Mg 8.248 4.762 5.437
Mg 2.749 1.587 4.341
Mg 0.000 0.000 0.000
Zn 5.499 3.175 0.891
Zn 5.499 3.175 8.887
```

Values from the calculation:
N(E_F) ... 5.07 states/eV per cell
Volume ... 256 Å³/cell
Space-group type ... No. 166

=====

Most stable: #1

=====

#1
Material: MgZn2Ag5
Method: DFT, PBE
State: optimized geometry

extended XYZ file:
```
8
Lattice="0.626 -5.106 -2.278 -0.021 -0.404 5.612 -4.875 2.219 -1.722" Properties=species:S:1:pos:R:3 pbc="T T T"
Ag -2.271 -0.421 0.066
Ag 0.158 -1.735 3.729
Ag -1.965 -3.176 1.733
Ag -4.706 0.689 -0.799
Ag -4.393 -1.865 -1.935
Zn -2.280 -0.623 2.872
Zn -1.956 -2.974 -1.072
Mg -4.404 -2.068 0.870
```

Values from the calculation:
N(E_F) ... 0.93 states/eV per cell
Volume ... 137 Å³/cell
Space-group type ... No. 139

=====

#2
Material: MgZn2Ag5
Method: DFT, PBE
State: optimized geometry

extended XYZ file:
```
16
Lattice="7.064 0.000 0.000 0.000 7.064 0.000 -3.532 -3.532 5.562" Properties=species:S:1:pos:R:3 pbc="T T T"
Ag 4.594 1.062 3.812
Ag 1.062 2.471 3.812
Ag 2.471 1.062 1.750
Ag -1.062 4.594 3.812
Ag 3.532 3.532 0.000
Ag -1.062 2.471 1.750
Ag 1.062 4.594 1.750
Ag 0.000 0.000 0.000
Ag 2.471 -1.062 3.812
Ag 4.594 -1.062 1.750
Mg 0.000 0.000 2.781
Mg 3.532 3.532 2.781
Zn 1.025 2.507 0.000
Zn 2.507 6.039 0.000
Zn 6.039 4.558 0.000
Zn 4.558 1.025 0.000
```

Values from the calculation:
N(E_F) ... 4.88 states/eV per cell
Volume ... 278 Å³/cell
Space-group type ... No. 140

=====

Most stable: #1

=====

#1
Material: Mg2Zn2Ag7
Method: DFT, PBE
State: optimized geometry

extended XYZ file:
```
11
Lattice="-6.051 -4.300 2.577 -2.000 -0.261 -4.895 3.264 -3.964 1.288" Properties=species:S:1:pos:R:3 pbc="T T T"
Ag 0.981 -4.152 -0.551
Ag -1.498 -2.564 -0.260
Ag -3.289 -5.961 -0.770
Ag -1.283 -2.559 -3.211
Ag 0.000 0.000 0.000
Ag -5.768 -4.374 -0.479
Ag -3.504 -5.966 2.180
Mg -1.142 -5.143 0.954
Mg -3.644 -3.383 -1.984
Zn -3.737 -3.596 1.028
Zn -1.050 -4.929 -2.058
```

Values from the calculation:
N(E_F) ... 2.63 states/eV per cell
Volume ... 200 Å³/cell
Space-group type ... No. 12

=====

#2
Material: Mg2Zn2Ag7
Method: DFT, PBE
State: optimized geometry

extended XYZ file:
```
11
Lattice="-4.454 0.560 -0.284 0.347 -0.605 -6.627 1.203 -6.460 4.003" Properties=species:S:1:pos:R:3 pbc="T T T"
Ag -2.286 -2.184 -4.065
Ag -0.104 -1.865 -2.044
Ag -1.905 -0.282 -6.297
Ag -0.535 -4.465 -0.415
Ag -2.918 -4.434 1.394
Ag -2.698 -4.636 -2.440
Ag -0.270 -1.755 0.774
Zn 0.218 -0.381 -4.173
Zn -2.106 0.069 -2.457
Mg -2.530 -2.420 -0.706
Mg -0.291 -4.228 -3.774
```

Values from the calculation:
N(E_F) ... 2.87 states/eV per cell
Volume ... 197 Å³/cell
Space-group type ... No. 44

=====

Most stable: #2

=====

#1
Material: Mg4ZnAg
Method: DFT, PBE
State: optimized geometry

extended XYZ file:
```
6
Lattice="4.491 -1.614 -3.013 3.491 -3.943 2.029 0.129 -5.132 -2.345" Properties=species:S:1:pos:R:3 pbc="T T T"
Mg 5.287 -4.815 -2.755
Mg 3.041 -4.008 -1.248
Mg 4.787 -5.980 -0.233
Mg 3.105 -6.574 -2.421
Ag 0.000 0.000 0.000
Zn 6.083 -8.016 -2.496
```

Values from the calculation:
N(E_F) ... 2.05 states/eV per cell
Volume ... 127 Å³/cell
Space-group type ... No. 216

=====

#2
Material: Mg4ZnAg
Method: DFT, PBE
State: optimized geometry

extended XYZ file:
```
6
Lattice="-1.995 3.950 1.358 -3.284 -2.414 2.196 3.570 -0.024 5.321" Properties=species:S:1:pos:R:3 pbc="T T T"
Zn 0.930 0.756 7.085
Mg -3.402 -0.432 4.174
Mg -1.594 -0.445 6.870
Mg 1.047 -1.212 5.092
Mg -0.762 -1.202 2.397
Ag -1.499 -2.413 4.842
```

Values from the calculation:
N(E_F) ... 2.72 states/eV per cell
Volume ... 137 Å³/cell
Space-group type ... No. 123

=====

Most stable: #2

=====

#1
Material: MgZn6Ag12
Method: DFT, PBE
State: optimized geometry

extended XYZ file:
```
19
Lattice="7.173 -0.245 -0.293 -1.329 7.053 -0.293 -1.329 -1.549 6.887" Properties=species:S:1:pos:R:3 pbc="T T T"
Zn 2.575 0.849 1.019
Zn 1.940 4.411 5.283
Zn 4.066 4.736 3.489
Zn 0.450 2.674 1.018
Zn 4.065 2.586 5.284
Zn 0.449 0.524 2.813
Ag 1.361 4.954 2.509
Ag 0.885 -1.208 5.016
Ag -0.175 3.166 3.791
Ag 4.958 1.656 -0.293
Ag 5.843 0.448 4.725
Ag 3.156 3.675 0.979
Ag 3.154 0.306 3.792
Ag 3.630 6.468 1.285
Ag -1.329 4.812 1.577
Ag -0.443 3.604 6.594
Ag 1.359 1.585 5.322
Ag 4.690 2.094 2.511
Mg 0.000 0.000 0.000
```

Values from the calculation:
N(E_F) ... 4.34 states/eV per cell
Volume ... 340 Å³/cell
Space-group type ... No. 166

=====

#2
Material: MgZn6Ag12
Method: DFT, PBE
State: optimized geometry

extended XYZ file:
```
19
Lattice="6.666 0.000 2.137 -3.334 6.307 2.755 -0.001 0.000 7.647" Properties=species:S:1:pos:R:3 pbc="T T T"
Ag 2.420 5.914 7.664
Ag 3.014 3.583 5.965
Ag 1.558 5.560 10.370
Ag 0.318 2.724 6.574
Ag 0.912 0.393 4.875
Ag 4.391 1.694 9.176
Ag -1.060 4.613 3.363
Ag 0.664 5.360 5.516
Ag 3.859 3.976 10.818
Ag 2.668 0.947 7.023
Ag -0.527 2.331 1.721
Ag 1.773 0.747 2.169
Zn -1.979 4.349 6.011
Zn -0.232 4.958 8.205
Zn 2.067 3.306 8.680
Zn 1.265 3.000 3.859
Zn 3.564 1.348 4.334
Zn 5.311 1.958 6.528
Mg 0.000 0.000 0.000
```

Values from the calculation:
N(E_F) ... 5.85 states/eV per cell
Volume ... 322 Å³/cell
Space-group type ... No. 148

=====

Most stable: #2

=====

#1
Material: MgZn3Ag6
Method: DFT, PBE
State: optimized geometry

extended XYZ file:
```
20
Lattice="5.868 0.000 0.000 0.000 8.101 -0.438 0.000 -2.235 7.799" Properties=species:S:1:pos:R:3 pbc="T T T"
Ag 4.555 -1.959 7.579
Ag 3.591 1.392 3.011
Ag 3.474 0.332 5.754
Ag 0.657 4.475 4.350
Ag 1.621 7.825 -0.218
Ag 0.657 2.624 2.028
Ag 4.758 6.636 3.639
Ag 3.591 3.242 5.333
Ag 0.540 5.535 1.607
Ag 4.758 3.800 0.080
Ag 1.824 -0.770 3.722
Ag 1.824 2.066 7.281
Zn 5.754 0.127 2.185
Zn 1.274 1.858 4.537
Zn 2.820 5.739 5.176
Zn 5.754 3.765 6.749
Zn 4.207 4.008 2.824
Zn 2.820 2.101 0.612
Mg 0.546 -0.356 6.302
Mg 3.480 6.223 1.059
```

Values from the calculation:
N(E_F) ... 6.11 states/eV per cell
Volume ... 365 Å³/cell
Space-group type ... No. 36

=====

#2
Material: MgZn3Ag6
Method: DFT, PBE
State: optimized geometry

extended XYZ file:
```
20
Lattice="-0.775 4.058 1.911 -0.870 -3.498 7.076 9.486 2.213 -0.853" Properties=species:S:1:pos:R:3 pbc="T T T"
Ag 5.891 3.981 2.065
Ag 1.823 2.386 3.804
Ag 6.071 1.782 6.810
Ag 1.771 0.991 1.324
Ag -0.600 -0.082 8.063
Ag 6.018 0.387 4.330
Ag 4.568 1.272 1.861
Ag 0.417 -0.330 3.582
Ag 8.441 2.855 0.071
Ag 7.424 3.103 4.552
Ag 1.950 -1.209 6.069
Ag 3.273 1.500 6.273
Zn 3.245 0.041 3.940
Zn 7.268 1.631 2.195
Zn 0.574 1.142 5.939
Zn 4.596 2.732 4.194
Zn 8.638 4.376 2.340
Zn -0.797 -1.604 5.794
Mg 4.766 -0.928 6.614
Mg 3.075 3.701 1.520
```

Values from the calculation:
N(E_F) ... 5.12 states/eV per cell
Volume ... 339 Å³/cell
Space-group type ... No. 11

=====

Most stable: #2

=====

#1
Material: MgZn3Ag
Method: DFT, PBE
State: optimized geometry

extended XYZ file:
```
10
Lattice="5.129 0.000 -0.238 0.000 5.139 0.000 -0.286 0.000 6.471" Properties=species:S:1:pos:R:3 pbc="T T T"
Zn 0.637 2.544 1.184
Zn 4.206 2.595 5.049
Zn 0.637 0.026 1.184
Zn 4.350 1.285 2.795
Zn 4.206 5.113 5.049
Zn 0.493 3.854 3.438
Ag 3.029 1.285 0.500
Ag 1.814 3.854 5.733
Mg 1.772 1.285 4.156
Mg 3.071 3.854 2.077
```

Values from the calculation:
N(E_F) ... 2.73 states/eV per cell
Volume ... 170 Å³/cell
Space-group type ... No. 11

=====

#2
Material: MgZn3Ag
Method: DFT, PBE
State: optimized geometry

extended XYZ file:
```
5
Lattice="4.904 0.000 0.000 0.000 4.904 0.000 0.000 0.000 4.904" Properties=species:S:1:pos:R:3 pbc="T T T"
Zn 0.000 2.452 0.000
Zn 2.452 0.000 0.000
Zn 0.000 0.000 2.452
Mg 2.452 2.452 2.452
Ag 0.000 0.000 0.000
```

Values from the calculation:
N(E_F) ... 1.67 states/eV per cell
Volume ... 118 Å³/cell
Space-group type ... No. 221

=====

Most stable: #1

=====

#1
Material: Mg4ZnAg2
Method: DFT, PBE
State: optimized geometry

extended XYZ file:
```
7
Lattice="4.445 0.000 1.389 2.005 3.967 1.389 -0.047 -0.029 7.959" Properties=species:S:1:pos:R:3 pbc="T T T"
Mg 2.415 1.485 7.884
Mg 5.600 3.444 5.500
Mg 3.988 2.452 2.852
Mg 0.803 0.494 5.236
Ag 4.780 2.939 8.124
Ag 1.623 0.998 2.612
Zn 0.000 0.000 0.000
```

Values from the calculation:
N(E_F) ... 1.25 states/eV per cell
Volume ... 141 Å³/cell
Space-group type ... No. 166

=====

#2
Material: Mg4ZnAg2
Method: DFT, PBE
State: optimized geometry

extended XYZ file:
```
7
Lattice="-1.240 3.783 -1.977 -3.827 0.179 -2.255 -6.054 3.866 6.199" Properties=species:S:1:pos:R:3 pbc="T T T"
Mg -4.488 2.953 3.470
Mg -8.991 6.251 2.609
Mg -2.130 1.578 -0.642
Mg -6.633 4.875 -1.503
Zn -5.561 3.914 0.983
Ag -4.313 3.187 -1.192
Ag -6.808 4.642 3.159
```

Values from the calculation:
N(E_F) ... 2.25 states/eV per cell
Volume ... 156 Å³/cell
Space-group type ... No. 166

=====

Most stable: #1